First-principles (PBE) data for crystalline Li5Pr at its relaxed geometry, as listed in Alexandria via LeMat-Bulk.

N(E_F) ... 3.75 states/eV/f.u.
Energy relative to the elements ... 0.532 eV/f.u.
Raw total energy ... -2.30 eV/atom
Magnetization ... 0.0007 μB per atom

abc: 3.375 5.357 8.218
angles: 109.02 90.00 90.00
Sites, in units of the cell vectors:
Li  0.000  0.654  0.308
Li  0.500  0.811  0.622
Li  0.500  0.189  0.378
Li  0.500  0.500  0.000
Li  0.000  0.346  0.692
Pr  0.000  0.000  0.000